No. 1
A relaxed structure of Rb2NiRhI, computed with GGA-PBE.

Energy relative to the elements, uncorrected = 0.62 eV per atom
M_tot = 1.82 μB/f.u.
Theoretical density = 3763 kg/m3
V = 40.549 Å³/atom
Total DFT energy (no corrections) = -0.099 Ha/atom

The structure in CIF format:
```
data_Rb2NiRhI
_chemical_formula_sum 'Rb2 Ni1 Rh1 I1'
_cell_length_a 6.596
_cell_length_b 6.596
_cell_length_c 4.660
_cell_angle_alpha 90.00
_cell_angle_beta 90.00
_cell_angle_gamma 90.00
_space_group_name_H-M_alt 'P 4/m m m'
_space_group_IT_number 123
_space_group_name_Hall '-P 4 2'
loop_
_atom_site_label
_atom_site_type_symbol
_atom_site_fract_x
_atom_site_fract_y
_atom_site_fract_z
_atom_site_occupancy
Rb1 Rb 0.000 0.500 0.000 1
Ni1 Ni 0.000 0.000 0.000 1
Rh1 Rh 0.500 0.500 0.500 1
I1 I 0.000 0.000 0.500 1
```


No. 2
A relaxed structure of Rb2NiRuI6, computed with GGA-PBE.

Energy relative to the elements, uncorrected = -0.45 eV per atom
M_tot = 2.02 μB/f.u.
Theoretical density = 5218 kg/m3
V = 34.754 Å³/atom
Total DFT energy (no corrections) = -0.113 Ha/atom

The structure in CIF format:
```
data_Rb2NiRuI6
_chemical_formula_sum 'Rb4 Ni2 Ru2 I12'
_cell_length_a 7.894
_cell_length_b 7.894
_cell_length_c 11.154
_cell_angle_alpha 90.00
_cell_angle_beta 90.00
_cell_angle_gamma 90.00
_space_group_name_H-M_alt 'I 4/m m m'
_space_group_IT_number 139
_space_group_name_Hall '-I 4 2'
loop_
_atom_site_label
_atom_site_type_symbol
_atom_site_fract_x
_atom_site_fract_y
_atom_site_fract_z
_atom_site_occupancy
Rb1 Rb 0.000 0.500 0.250 1
Ni1 Ni 0.000 0.000 0.000 1
Ru1 Ru 0.000 0.000 0.500 1
I1 I 0.000 0.000 0.251 1
I2 I 0.249 0.249 0.500 1
```


No. 3
A relaxed structure of RbNi2SbI, computed with GGA-PBE.

Energy relative to the elements, uncorrected = 0.80 eV per atom
M_tot = 1.32 μB/f.u.
Theoretical density = 4881 kg/m3
V = 30.722 Å³/atom
Total DFT energy (no corrections) = -0.104 Ha/atom

The structure in CIF format:
```
data_RbNi2SbI
_chemical_formula_sum 'Rb1 Ni2 Sb1 I1'
_cell_length_a 4.885
_cell_length_b 4.885
_cell_length_c 6.438
_cell_angle_alpha 90.00
_cell_angle_beta 90.00
_cell_angle_gamma 90.00
_space_group_name_H-M_alt 'P 4/m m m'
_space_group_IT_number 123
_space_group_name_Hall '-P 4 2'
loop_
_atom_site_label
_atom_site_type_symbol
_atom_site_fract_x
_atom_site_fract_y
_atom_site_fract_z
_atom_site_occupancy
Rb1 Rb 0.000 0.000 0.000 1
Ni1 Ni 0.000 0.500 0.500 1
Sb1 Sb 0.500 0.500 0.000 1
I1 I 0.000 0.000 0.500 1
```


No. 4
A relaxed structure of Rb2NiSeI6, computed with GGA-PBE.

Energy relative to the elements, uncorrected = -0.56 eV per atom
M_tot = 0.00 μB/f.u.
Theoretical density = 4766 kg/m3
V = 37.284 Å³/atom
Total DFT energy (no corrections) = -0.096 Ha/atom

The structure in CIF format:
```
data_Rb2NiSeI6
_chemical_formula_sum 'Rb4 Ni2 Se2 I12'
_cell_length_a 8.098
_cell_length_b 8.098
_cell_length_c 11.370
_cell_angle_alpha 90.00
_cell_angle_beta 90.00
_cell_angle_gamma 90.00
_space_group_name_H-M_alt 'I 4/m m m'
_space_group_IT_number 139
_space_group_name_Hall '-I 4 2'
loop_
_atom_site_label
_atom_site_type_symbol
_atom_site_fract_x
_atom_site_fract_y
_atom_site_fract_z
_atom_site_occupancy
Rb1 Rb 0.000 0.500 0.250 1
Ni1 Ni 0.000 0.000 0.000 1
Se1 Se 0.000 0.000 0.500 1
I1 I 0.000 0.000 0.239 1
I2 I 0.235 0.235 0.000 1
```


No. 5
A relaxed structure of Rb2SrNiI6, computed with GGA-PBE.

Energy relative to the elements, uncorrected = -1.04 eV per atom
M_tot = 2.00 μB/f.u.
Theoretical density = 4155 kg/m3
V = 43.105 Å³/atom
Total DFT energy (no corrections) = -0.107 Ha/atom

The structure in CIF format:
```
data_Rb2SrNiI6
_chemical_formula_sum 'Rb8 Sr4 Ni4 I24'
_cell_length_a 11.991
_cell_length_b 11.991
_cell_length_c 11.991
_cell_angle_alpha 90.00
_cell_angle_beta 90.00
_cell_angle_gamma 90.00
_space_group_name_H-M_alt 'F m -3 m'
_space_group_IT_number 225
_space_group_name_Hall '-F 4 2 3'
loop_
_atom_site_label
_atom_site_type_symbol
_atom_site_fract_x
_atom_site_fract_y
_atom_site_fract_z
_atom_site_occupancy
Rb1 Rb 0.250 0.250 0.250 1
Sr1 Sr 0.000 0.000 0.000 1
Ni1 Ni 0.000 0.000 0.500 1
I1 I 0.000 0.000 0.269 1
```


No. 6
A relaxed structure of RbSrNi2I, computed with GGA-PBE.

Energy relative to the elements, uncorrected = 0.66 eV per atom
M_tot = 0.00 μB/f.u.
Theoretical density = 4412 kg/m3
V = 31.421 Å³/atom
Total DFT energy (no corrections) = -0.092 Ha/atom

The structure in CIF format:
```
data_RbSrNi2I
_chemical_formula_sum 'Rb1 Sr1 Ni2 I1'
_cell_length_a 5.029
_cell_length_b 5.029
_cell_length_c 6.212
_cell_angle_alpha 90.00
_cell_angle_beta 90.00
_cell_angle_gamma 90.00
_space_group_name_H-M_alt 'P 4/m m m'
_space_group_IT_number 123
_space_group_name_Hall '-P 4 2'
loop_
_atom_site_label
_atom_site_type_symbol
_atom_site_fract_x
_atom_site_fract_y
_atom_site_fract_z
_atom_site_occupancy
Rb1 Rb 0.000 0.000 0.000 1
Sr1 Sr 0.500 0.500 0.000 1
Ni1 Ni 0.000 0.500 0.500 1
I1 I 0.000 0.000 0.500 1
```


No. 7
A relaxed structure of Rb2TcNiI6, computed with GGA-PBE.

Energy relative to the elements, uncorrected = -0.49 eV per atom
M_tot = 3.00 μB/f.u.
Theoretical density = 4940 kg/m3
V = 36.611 Å³/atom
Total DFT energy (no corrections) = -0.119 Ha/atom

The structure in CIF format:
```
data_Rb2TcNiI6
_chemical_formula_sum 'Rb4 Tc2 Ni2 I12'
_cell_length_a 8.029
_cell_length_b 8.029
_cell_length_c 11.359
_cell_angle_alpha 90.00
_cell_angle_beta 90.00
_cell_angle_gamma 90.00
_space_group_name_H-M_alt 'I 4/m m m'
_space_group_IT_number 139
_space_group_name_Hall '-I 4 2'
loop_
_atom_site_label
_atom_site_type_symbol
_atom_site_fract_x
_atom_site_fract_y
_atom_site_fract_z
_atom_site_occupancy
Rb1 Rb 0.000 0.500 0.250 1
Tc1 Tc 0.000 0.000 0.000 1
Ni1 Ni 0.000 0.000 0.500 1
I1 I 0.000 0.000 0.254 1
I2 I 0.247 0.247 0.500 1
```


No. 8
A relaxed structure of RbNiTeI2, computed with GGA-PBE.

Energy relative to the elements, uncorrected = -0.39 eV per atom
M_tot = 1.47 μB/f.u.
Theoretical density = 5199 kg/m3
V = 33.570 Å³/atom
Total DFT energy (no corrections) = -0.110 Ha/atom

The structure in CIF format:
```
data_RbNiTeI2
_chemical_formula_sum 'Rb1 Ni1 Te1 I2'
_cell_length_a 5.792
_cell_length_b 5.792
_cell_length_c 5.003
_cell_angle_alpha 90.00
_cell_angle_beta 90.00
_cell_angle_gamma 90.00
_space_group_name_H-M_alt 'P 4/m m m'
_space_group_IT_number 123
_space_group_name_Hall '-P 4 2'
loop_
_atom_site_label
_atom_site_type_symbol
_atom_site_fract_x
_atom_site_fract_y
_atom_site_fract_z
_atom_site_occupancy
Rb1 Rb 0.000 0.000 0.000 1
Ni1 Ni 0.500 0.500 0.500 1
Te1 Te 0.500 0.500 0.000 1
I1 I 0.000 0.500 0.500 1
```


No. 9
A relaxed structure of Rb2TlNiI6, computed with GGA-PBE.

Energy relative to the elements, uncorrected = -0.71 eV per atom
M_tot = 1.00 μB/f.u.
Theoretical density = 4778 kg/m3
V = 41.547 Å³/atom
Total DFT energy (no corrections) = -0.097 Ha/atom

The structure in CIF format:
```
data_Rb2TlNiI6
_chemical_formula_sum 'Rb8 Tl4 Ni4 I24'
_cell_length_a 11.845
_cell_length_b 11.845
_cell_length_c 11.845
_cell_angle_alpha 90.00
_cell_angle_beta 90.00
_cell_angle_gamma 90.00
_space_group_name_H-M_alt 'F m -3 m'
_space_group_IT_number 225
_space_group_name_Hall '-F 4 2 3'
loop_
_atom_site_label
_atom_site_type_symbol
_atom_site_fract_x
_atom_site_fract_y
_atom_site_fract_z
_atom_site_occupancy
Rb1 Rb 0.250 0.250 0.250 1
Tl1 Tl 0.000 0.000 0.000 1
Ni1 Ni 0.000 0.000 0.500 1
I1 I 0.000 0.000 0.272 1
```


No. 10
A relaxed structure of Rb2YNiI6, computed with GGA-PBE.

Energy relative to the elements, uncorrected = -1.03 eV per atom
M_tot = 1.00 μB/f.u.
Theoretical density = 4429 kg/m3
V = 40.486 Å³/atom
Total DFT energy (no corrections) = -0.124 Ha/atom

The structure in CIF format:
```
data_Rb2YNiI6
_chemical_formula_sum 'Rb4 Y2 Ni2 I12'
_cell_length_a 8.305
_cell_length_b 8.305
_cell_length_c 11.739
_cell_angle_alpha 90.00
_cell_angle_beta 90.00
_cell_angle_gamma 90.00
_space_group_name_H-M_alt 'I 4/m m m'
_space_group_IT_number 139
_space_group_name_Hall '-I 4 2'
loop_
_atom_site_label
_atom_site_type_symbol
_atom_site_fract_x
_atom_site_fract_y
_atom_site_fract_z
_atom_site_occupancy
Rb1 Rb 0.000 0.500 0.250 1
Y1 Y 0.000 0.000 0.000 1
Ni1 Ni 0.000 0.000 0.500 1
I1 I 0.000 0.000 0.258 1
I2 I 0.242 0.242 0.500 1
```